1.
Cs3RbHg | GGA-PBE | relaxed

Total magnetic moment, μB/atom: 0.00
E_form, eV/atom: -0.0672
Offset from the most stable computed form, meV/atom: 33

Cell lengths 10.3968, 10.3968, 27.5879 Å; angles 90.00, 90.00, 120.00 degrees
Space group R-3m (No. 166, hexagonal axes)
One atom of each set of equivalent atoms:
Cs 0.0053 0.5027 0.4111 (multiplicity 18)
Rb 0.0000 0.0000 0.4187 (multiplicity 6)
Hg 0.0000 0.0000 0.1637 (multiplicity 6)



2.
CsRb2Hg | GGA-PBE | relaxed

Total magnetic moment, μB/atom: 0.00
E_form, eV/atom: -0.0089

Cell lengths 6.086, 6.086, 30.402 Å; angles 90.00, 90.00, 90.00 degrees
Space group I-42d (No. 122)
One atom of each set of equivalent atoms:
Cs 0.000 0.000 0.000 (multiplicity 4)
Rb 0.223 0.250 0.625 (multiplicity 8)
Hg 0.000 0.000 0.500 (multiplicity 4)



3.
CsRb3Hg8 | GGA-PBE | relaxed

Total magnetic moment, μB/atom: 0.00
E_form, eV/atom: -0.2291

Cell lengths 6.6789, 6.6789, 11.0236 Å; angles 90.00, 90.00, 120.00 degrees
Space group P3m1 (No. 156)
One atom of each set of equivalent atoms:
Cs 0.0000 0.0000 0.0000 (multiplicity 1)
Rb 0.0000 0.0000 0.3772 (multiplicity 1)
Rb 0.6667 0.3333 0.4990 (multiplicity 1)
Rb 0.6667 0.3333 0.8715 (multiplicity 1)
Hg 0.1635 0.3271 0.6838 (multiplicity 3)
Hg 0.3333 0.6667 0.4309 (multiplicity 1)
Hg 0.3333 0.6667 0.9363 (multiplicity 1)
Hg 0.5055 0.0111 0.1890 (multiplicity 3)



4.
Cs2Rb2Hg15 | GGA-PBE | relaxed

Total magnetic moment, μB/atom: 0.00
E_form, eV/atom: -0.1723
Offset from the most stable computed form, meV/atom: 0

Cell lengths 11.1777, 11.1777, 18.0107 Å; angles 90.00, 90.00, 120.00 degrees
Space group R-3m (No. 166, hexagonal axes)
One atom of each set of equivalent atoms:
Cs 0.0000 0.0000 0.1591 (multiplicity 6)
Rb 0.0000 0.0000 0.3999 (multiplicity 6)
Hg 0.0000 0.2990 0.5000 (multiplicity 18)
Hg 0.0000 0.5000 0.0000 (multiplicity 9)
Hg 0.0145 0.5073 0.6380 (multiplicity 18)



5.
CsRb8Hg6 | GGA-PBE | relaxed

Total magnetic moment, μB/atom: 0.00
E_form, eV/atom: -0.1558

Cell lengths 10.9375, 10.9375, 23.2960 Å; angles 90.00, 90.00, 120.00 degrees
Space group R-3 (No. 148, hexagonal axes)
One atom of each set of equivalent atoms:
Cs 0.0000 0.0000 0.0000 (multiplicity 3)
Rb 0.0000 0.0000 0.3331 (multiplicity 6)
Rb 0.9998 0.3339 0.8865 (multiplicity 18)
Hg 0.0000 0.3388 0.0513 (multiplicity 18)



6.
Cs12Rb4Hg | GGA-PBE | relaxed

Total magnetic moment, μB/atom: 0.00
E_form, eV/atom: 0.1541

Cell lengths 18.074, 18.074, 18.074 Å; angles 90.00, 90.00, 90.00 degrees
Space group Im-3m (No. 229)
One atom of each set of equivalent atoms:
Cs 0.000 0.351 0.351 (multiplicity 24)
Rb 0.250 0.250 0.250 (multiplicity 8)
Hg 0.000 0.000 0.000 (multiplicity 2)



7.
Cs2Rb5Hg5 | GGA-PBE | relaxed

Total magnetic moment, μB/atom: 0.00
E_form, eV/atom: -0.1686

Cell lengths 5.240, 11.568, 11.675 Å; angles 70.19, 77.07, 90.00 degrees
Space group P-1 (No. 2)
One atom of each set of equivalent atoms:
Cs 0.183 0.094 0.133 (multiplicity 2)
Rb 0.345 0.573 0.812 (multiplicity 2)
Rb 0.416 0.280 0.668 (multiplicity 2)
Rb 0.500 0.000 0.500 (multiplicity 1)
Hg 0.000 0.500 0.500 (multiplicity 1)
Hg 0.030 0.256 0.436 (multiplicity 2)
Hg 0.200 0.701 0.100 (multiplicity 2)



8.
Cs4Rb3Hg4 | GGA-PBE | relaxed

Total magnetic moment, μB/atom: 0.00
E_form, eV/atom: -0.1567

Cell lengths 5.526, 12.117, 20.145 Å; angles 90.00, 90.00, 90.00 degrees
Space group Immm (No. 71)
One atom of each set of equivalent atoms:
Cs 0.000 0.195 0.160 (multiplicity 8)
Rb 0.000 0.000 0.387 (multiplicity 4)
Rb 0.000 0.500 0.500 (multiplicity 2)
Hg 0.000 0.374 0.000 (multiplicity 4)
Hg 0.000 0.500 0.257 (multiplicity 4)



9.
CsRbHg2 | GGA-PBE | relaxed

Total magnetic moment, μB/atom: 0.00
E_form, eV/atom: -0.1335
Offset from the most stable computed form, meV/atom: 113

Cell lengths 5.3266, 5.3266, 26.8974 Å; angles 90.00, 90.00, 120.00 degrees
Space group R3m (No. 160, hexagonal axes)
One atom of each set of equivalent atoms:
Cs 0.0000 0.0000 0.0000 (multiplicity 3)
Rb 0.0000 0.0000 0.1743 (multiplicity 3)
Hg 0.0000 0.0000 0.5855 (multiplicity 3)
Hg 0.0000 0.0000 0.7561 (multiplicity 3)



10.
CsRb3Hg7 | GGA-PBE | relaxed

Total magnetic moment, μB/atom: 0.00
E_form, eV/atom: -0.2353

Cell lengths 5.364, 27.033, 13.023 Å; angles 90.00, 90.00, 90.00 degrees
Space group Cmcm (No. 63)
One atom of each set of equivalent atoms:
Cs 0.000 0.022 0.250 (multiplicity 4)
Rb 0.000 0.141 0.565 (multiplicity 8)
Rb 0.000 0.227 0.250 (multiplicity 4)
Hg 0.000 0.276 0.529 (multiplicity 8)
Hg 0.000 0.379 0.633 (multiplicity 8)
Hg 0.000 0.381 0.250 (multiplicity 4)
Hg 0.000 0.452 0.059 (multiplicity 8)



Repeat the third record exactly.
CsRb3Hg8 | GGA-PBE | relaxed

Total magnetic moment, μB/atom: 0.00
E_form, eV/atom: -0.2291

Cell lengths 6.6789, 6.6789, 11.0236 Å; angles 90.00, 90.00, 120.00 degrees
Space group P3m1 (No. 156)
One atom of each set of equivalent atoms:
Cs 0.0000 0.0000 0.0000 (multiplicity 1)
Rb 0.0000 0.0000 0.3772 (multiplicity 1)
Rb 0.6667 0.3333 0.4990 (multiplicity 1)
Rb 0.6667 0.3333 0.8715 (multiplicity 1)
Hg 0.1635 0.3271 0.6838 (multiplicity 3)
Hg 0.3333 0.6667 0.4309 (multiplicity 1)
Hg 0.3333 0.6667 0.9363 (multiplicity 1)
Hg 0.5055 0.0111 0.1890 (multiplicity 3)